[1]
This record from Alexandria describes crystalline TeCl8 at its relaxed geometry. The functional is GGA-PBE.

Cell and atoms, written as POSCAR:
```
TeCl8
1.0
-4.667 4.667 4.092
4.667 -4.667 4.092
4.667 4.667 -4.092
Te Cl
1 8
Direct
0.000 0.000 0.000 Te
0.000 0.265 0.265 Cl
0.000 0.735 0.735 Cl
0.265 0.000 0.265 Cl
0.370 0.370 0.740 Cl
0.370 0.630 0.000 Cl
0.630 0.370 0.000 Cl
0.630 0.630 0.260 Cl
0.735 0.000 0.735 Cl
```

Properties
* total magnetic moment: 0.2 μB per formula unit
* formation energy (no corrections): 11.7 kJ per mole of atoms

[2]
This record from Alexandria describes crystalline TeCl at its relaxed geometry. The functional is GGA-PBE.

Cell and atoms, written as POSCAR:
```
TeCl
1.0
10.718 0.000 0.000
0.000 3.352 0.000
-0.922 0.000 10.916
Te Cl
6 6
Direct
0.000 0.000 0.000 Te
0.024 0.000 0.741 Te
0.125 0.500 0.484 Te
0.500 0.500 0.000 Te
0.524 0.500 0.741 Te
0.625 0.000 0.484 Te
0.270 0.500 0.022 Cl
0.273 0.000 0.723 Cl
0.463 0.000 0.323 Cl
0.770 0.000 0.022 Cl
0.773 0.500 0.723 Cl
0.963 0.500 0.323 Cl
```

Properties
* total magnetic moment: 0.0 μB per formula unit
* formation energy (no corrections): -12.6 kJ per mole of atoms

[3]
This record from Alexandria describes crystalline Te2Cl3 at its relaxed geometry. The functional is GGA-PBE.

Cell and atoms, written as POSCAR:
```
Te2Cl3
1.0
5.642 0.000 0.000
-2.821 4.886 0.000
0.000 0.000 5.240
Te Cl
2 3
Direct
0.333 0.667 0.000 Te
0.667 0.333 0.000 Te
0.000 0.000 0.000 Cl
0.333 0.667 0.500 Cl
0.667 0.333 0.500 Cl
```

Properties
* total magnetic moment: 0.0 μB per formula unit
* formation energy (no corrections): -15.9 kJ per mole of atoms
* excess energy over the best structure of this formula in the dataset: 0.0 meV per atom

[4]
This record from Alexandria describes crystalline TeCl at its relaxed geometry. The functional is GGA-PBE.

Cell and atoms, written as POSCAR:
```
TeCl
1.0
13.594 0.000 0.000
0.000 3.678 0.000
-1.068 0.000 8.199
Te Cl
6 6
Direct
0.000 0.000 0.000 Te
0.012 0.500 0.329 Te
0.346 0.500 0.202 Te
0.500 0.500 0.000 Te
0.512 0.000 0.329 Te
0.846 0.000 0.202 Te
0.233 0.000 0.384 Cl
0.258 0.000 0.973 Cl
0.496 0.000 0.621 Cl
0.733 0.500 0.384 Cl
0.758 0.500 0.973 Cl
0.996 0.500 0.621 Cl
```

Properties
* total magnetic moment: 0.0 μB per formula unit
* formation energy (no corrections): -16.9 kJ per mole of atoms

[5]
This record from Alexandria describes crystalline TeCl at its relaxed geometry. The functional is GGA-PBE.

Cell and atoms, written as POSCAR:
```
TeCl
1.0
6.159 0.000 0.000
0.000 6.159 0.000
0.000 0.000 6.159
Te Cl
4 4
Direct
0.000 0.000 0.000 Te
0.000 0.500 0.500 Te
0.500 0.000 0.500 Te
0.500 0.500 0.000 Te
0.000 0.000 0.500 Cl
0.000 0.500 0.000 Cl
0.500 0.000 0.000 Cl
0.500 0.500 0.500 Cl
```

Properties
* total magnetic moment: 0.4 μB per formula unit
* formation energy (no corrections): 47.0 kJ per mole of atoms

[6]
This record from Alexandria describes crystalline TeCl at its relaxed geometry. The functional is GGA-PBE.

Cell and atoms, written as POSCAR:
```
TeCl
1.0
12.692 0.000 0.000
0.000 12.692 0.000
0.000 0.000 3.351
Te Cl
8 8
Direct
0.015 0.169 0.000 Te
0.169 0.985 0.000 Te
0.342 0.580 0.500 Te
0.420 0.342 0.500 Te
0.580 0.658 0.500 Te
0.658 0.420 0.500 Te
0.831 0.015 0.000 Te
0.985 0.831 0.000 Te
0.113 0.681 0.000 Cl
0.227 0.399 0.500 Cl
0.319 0.113 0.000 Cl
0.399 0.773 0.500 Cl
0.601 0.227 0.500 Cl
0.681 0.887 0.000 Cl
0.773 0.601 0.500 Cl
0.887 0.319 0.000 Cl
```

Properties
* total magnetic moment: 0.0 μB per formula unit
* formation energy (no corrections): -21.0 kJ per mole of atoms

- What is the formula in the fifth record?
  TeCl

- Which of these has the lowest formation energy (no corrections)?
  number 6

- Which formula does entry 6 have?
  TeCl